A plane-wave DFT calculation with PBE was carried out for an optimized crystal structure of Pr6Te2As3I.

a b c (Å): 4.366 9.026 10.029
angles (deg): 105.61 102.57 90.00
Positions (direct):
1 Pr 0.321 0.932 0.643
2 Pr 0.661 0.600 0.322
3 Pr 0.679 0.068 0.357
4 Pr 0.993 0.280 0.986
5 Pr 0.007 0.720 0.014
6 Pr 0.339 0.400 0.678
7 Te 0.835 0.671 0.670
8 Te 0.165 0.329 0.330
9 As 0.500 0.500 0.000
10 As 0.835 0.167 0.670
11 As 0.165 0.833 0.330
12 I 0.500 0.000 0.000

Output
spin magnetization	0.00	μB/cell
V	370.8	Å³/cell
electronic total energy	-5.68	eV per atom
DOS(E_F)	4.7	states/eV/cell
raw formation energy	-1.471	eV/atom

***

A plane-wave DFT calculation with PBE was carried out for an optimized crystal structure of As2Pt2I.

a b c (Å): 7.728 7.728 3.446
angles (deg): 90.00 90.00 90.00
Positions (direct):
1 I 0.000 0.000 0.000
2 I 0.500 0.500 0.000
3 As 0.133 0.633 0.500
4 As 0.633 0.867 0.500
5 As 0.867 0.367 0.500
6 As 0.367 0.133 0.500
7 Pt 0.371 0.871 0.000
8 Pt 0.871 0.629 0.000
9 Pt 0.629 0.129 0.000
10 Pt 0.129 0.371 0.000

Output
spin magnetization	0.00	μB/cell
V	205.8	Å³/cell
electronic total energy	-4.46	eV per atom
DOS(E_F)	4.8	states/eV/cell
raw formation energy	0.130	eV/atom
E above lowest polymorph	1.63	eV per formula unit

***

A plane-wave DFT calculation with PBE was carried out for an optimized crystal structure of AsPtI3.

a b c (Å): 5.615 5.615 5.615
angles (deg): 90.00 90.00 90.00
Each line ends with the local moment (μB).
Positions (direct):
1 I 0.000 0.500 0.000  0.04
2 I 0.000 0.000 0.500  0.02
3 I 0.500 0.000 0.000  0.02
4 As 0.000 0.000 0.000  -0.01
5 Pt 0.500 0.500 0.500  0.61

Output
spin magnetization	0.75	μB/cell
V	177.0	Å³/cell
electronic total energy	-2.17	eV per atom
DOS(E_F)	11.6	states/eV/cell
raw formation energy	0.901	eV/atom
E above lowest polymorph	1.94	eV per formula unit

***

A plane-wave DFT calculation with PBE was carried out for an optimized crystal structure of As3PtI.

a b c (Å): 5.003 5.003 5.003
angles (deg): 90.00 90.00 90.00
Positions (direct):
1 I 0.500 0.500 0.500
2 As 0.000 0.500 0.000
3 As 0.000 0.000 0.500
4 As 0.500 0.000 0.000
5 Pt 0.000 0.000 0.000

Output
spin magnetization	0.00	μB/cell
V	125.2	Å³/cell
electronic total energy	-3.73	eV per atom
DOS(E_F)	5.9	states/eV/cell
raw formation energy	0.580	eV/atom
E above lowest polymorph	0.00	eV per formula unit

***

A plane-wave DFT calculation with PBE was carried out for an optimized crystal structure of As2Pt2I.

a b c (Å): 3.922 3.922 8.149
angles (deg): 76.08 76.08 90.00
Positions (direct):
1 I 0.000 0.000 0.000
2 As 0.356 0.356 0.288
3 As 0.644 0.644 0.712
4 Pt 0.750 0.250 0.500
5 Pt 0.250 0.750 0.500

Output
spin magnetization	0.00	μB/cell
V	117.8	Å³/cell
electronic total energy	-4.78	eV per atom
DOS(E_F)	1.4	states/eV/cell
raw formation energy	-0.196	eV/atom
E above lowest polymorph	0.00	eV per formula unit

***

A plane-wave DFT calculation with PBE was carried out for an optimized crystal structure of As2Pt2I.

a b c (Å): 8.697 8.697 2.949
angles (deg): 90.00 90.00 90.00
Positions (direct):
1 I 0.000 0.000 0.000
2 I 0.500 0.500 0.000
3 As 0.375 0.875 0.000
4 As 0.875 0.625 0.000
5 As 0.625 0.125 0.000
6 As 0.125 0.375 0.000
7 Pt 0.124 0.624 0.500
8 Pt 0.624 0.876 0.500
9 Pt 0.876 0.376 0.500
10 Pt 0.376 0.124 0.500

Output
spin magnetization	0.00	μB/cell
V	223.1	Å³/cell
electronic total energy	-4.34	eV per atom
DOS(E_F)	6.5	states/eV/cell
raw formation energy	0.244	eV/atom
E above lowest polymorph	2.20	eV per formula unit

***

A plane-wave DFT calculation with PBE was carried out for an optimized crystal structure of AsPtI.

a b c (Å): 3.860 3.860 5.804
angles (deg): 90.00 90.00 120.00
Positions (direct):
1 I 0.000 0.000 0.062
2 As 0.333 0.667 0.575
3 Pt 0.667 0.333 0.363

Output
spin magnetization	0.00	μB/cell
V	74.9	Å³/cell
electronic total energy	-4.21	eV per atom
DOS(E_F)	0.7	states/eV/cell
raw formation energy	-0.132	eV/atom

***

A plane-wave DFT calculation with PBE was carried out for an optimized crystal structure of As2Pt2I.

a b c (Å): 4.350 4.350 6.405
angles (deg): 70.15 70.15 90.00
Positions (direct):
1 I 0.000 0.000 0.000
2 As 0.750 0.250 0.500
3 As 0.250 0.750 0.500
4 Pt 0.371 0.371 0.257
5 Pt 0.629 0.629 0.743

Output
spin magnetization	0.00	μB/cell
V	106.3	Å³/cell
electronic total energy	-4.55	eV per atom
DOS(E_F)	3.3	states/eV/cell
raw formation energy	0.040	eV/atom
E above lowest polymorph	1.18	eV per formula unit

***

The highest raw formation energy belongs to which entry? AsPtI3

***

Which of these has the lowest DOS(E_F)? AsPtI